# GGA-PBE ZnNi3N, optimized geometry
# total DFT energy (no corrections) = -5.300 eV per atom
# Fermi-level density of states = 10.4 states/eV/cell
# V = 12.0 Å³ per atom
data_ZnNi3N
_chemical_formula_sum 'Zn4 Ni12 N4'
_symmetry_space_group_name_H-M 'C 1 2/m 1'
_symmetry_Int_Tables_number 12
_cell_length_a 12.6211
_cell_length_b 3.6141
_cell_length_c 5.9573
_cell_angle_alpha 90.00
_cell_angle_beta 117.66
_cell_angle_gamma 90.00
loop_
_symmetry_equiv_pos_as_xyz
'x,y,z'
'-x,-y,-z'
'-x,y,-z'
'x,-y,z'
'x+1/2,y+1/2,z'
'-x+1/2,-y+1/2,-z'
'-x+1/2,y+1/2,-z'
'x+1/2,-y+1/2,z'
loop_
_atom_site_label
_atom_site_type_symbol
_atom_site_fract_x
_atom_site_fract_y
_atom_site_fract_z
Zn1 Zn 0.1015 0.0000 0.1898
Ni1 Ni 0.0467 0.5000 0.8593
Ni2 Ni 0.1805 0.5000 0.4932
Ni3 Ni 0.2121 0.0000 0.8424
N1 N 0.1654 0.5000 0.7750